Entry 1:
# EuHoInAu

A geometry-optimized EuHoInAu structure (PBE, Alexandria).

Lattice parameters (Å, degrees): 5.305 5.305 5.305 60.00 60.00 60.00
Each line ends with the local moment (μB).
Sites, in units of the cell vectors:
Ho  0.000  0.000  0.000  -0.03
Eu  0.500  0.500  0.500  6.77
In  0.750  0.750  0.750  -0.02
Au  0.250  0.250  0.250  -0.01

## Properties
* density: 9.89 g cm⁻³
* N(E_F): 9.6 states/eV per cell
* ΔH_f (0 K): -569 meV/atom


Entry 2:
# Li3CaPb

A geometry-optimized Li3CaPb structure (PBE, Alexandria).

Lattice parameters (Å, degrees): 5.175 5.175 5.175 90.00 90.00 90.00
Sites, in units of the cell vectors:
Li  0.000  0.000  0.500
Li  0.000  0.500  0.000
Li  0.500  0.000  0.000
Pb  0.000  0.000  0.000
Ca  0.500  0.500  0.500

## Properties
* energy above the most stable polymorph in this dataset: 132 meV per atom
* density: 3.21 g cm⁻³
* N(E_F): 2.0 states/eV per cell
* ΔH_f (0 K): -76 meV/atom


Entry 3:
# La2HoPa

A geometry-optimized La2HoPa structure (PBE, Alexandria).

Lattice parameters (Å, degrees): 4.967 5.016 5.016 90.00 90.00 90.00
Sites, in units of the cell vectors:
Pa  0.500  0.500  0.500
La  0.000  0.500  0.000
La  0.000  0.000  0.500
Ho  0.500  0.000  0.000

## Properties
* energy above the most stable polymorph in this dataset: 108 meV per atom
* density: 8.95 g cm⁻³
* N(E_F): 7.6 states/eV per cell
* ΔH_f (0 K): 260 meV/atom


Entry 4:
# SiPCl

A geometry-optimized SiPCl structure (PBE, Alexandria).

Lattice parameters (Å, degrees): 5.959 6.342 8.536 90.00 90.00 90.00
Sites, in units of the cell vectors:
Si  0.504  0.911  0.897
Si  0.004  0.089  0.103
Si  0.504  0.411  0.103
Si  0.004  0.589  0.897
P  0.622  0.073  0.118
P  0.122  0.427  0.118
P  0.122  0.927  0.882
P  0.622  0.573  0.882
Cl  0.604  0.538  0.315
Cl  0.104  0.462  0.685
Cl  0.104  0.962  0.315
Cl  0.604  0.038  0.685

## Properties
* energy above the most stable polymorph in this dataset: 0 meV per atom
* density: 1.95 g cm⁻³
* raw formation energy: -0.562 eV/atom
* N(E_F): 0.0 states/eV per cell